Computed, not measured: an optimized crystal structure of LiCdIr2 at the PBE-GGA level of DFT.

Cell and atoms, written as POSCAR:
```
LiCdIr2
1.0
2.848 0.000 0.000
0.000 4.611 0.000
0.000 0.000 4.690
Li Cd Ir
1 1 2
Direct
0.000 0.000 0.000
0.500 0.500 0.000
0.000 0.500 0.500
0.500 0.000 0.500
```

- DOS at the Fermi energy: 4.17 states/eV/f.u.
- Mass density: 13.58 Mg/m³
- Space-group type: Pmmm (47)
- Formation enthalpy at 0 K: 0.017 eV/atom